(1)
The following is a PBE calculation of a relaxed TmZrRePd crystal, from the Alexandria database.

Unit cell a=4.758 b=4.758 c=4.758 alpha=60.00 beta=60.00 gamma=60.00
Positions (direct):
1 Re 0.500 0.500 0.500
2 Tm 0.250 0.250 0.250
3 Zr 0.750 0.750 0.750
4 Pd 0.000 0.000 0.000

calculated density = 12.0 g/cm³
D(E_F) = 0.3385 states/eV/atom
symmetry = No. 216
electronic total energy = -0.59264 Ry per atom
M_tot = 0.00 μB per formula unit
formation energy from the elements = -398 meV per atom



(2)
The following is a PBE calculation of a relaxed SmY3O crystal, from the Alexandria database.

Unit cell a=5.663 b=6.439 c=7.104 alpha=89.97 beta=90.00 gamma=90.00
Positions (direct):
1 Sm 0.419 0.346 0.701
2 Sm 0.919 0.007 0.201
3 Y 0.434 0.350 0.201
4 Y 0.425 0.812 0.950
5 Y 0.925 0.541 0.450
6 Y 0.934 0.003 0.701
7 Y 0.925 0.541 0.951
8 Y 0.425 0.812 0.451
9 O 0.174 0.680 0.701
10 O 0.674 0.673 0.201

calculated density = 5.6 g/cm³
D(E_F) = 1.4937 states/eV/atom
distance to the lowest polymorph of the same formula = 0 meV/atom
symmetry = No. 31
electronic total energy = -0.50787 Ry per atom
M_tot = 0.00 μB per formula unit
energy relative to the elements, uncorrected = -105.7 kJ per mole of atoms



(3)
The following is a PBE calculation of a relaxed SbAsSN2 crystal, from the Alexandria database.

Unit cell a=3.994 b=3.994 c=5.174 alpha=90.00 beta=90.00 gamma=90.00
Positions (direct):
1 Sb 0.000 0.000 0.000
2 As 0.500 0.500 0.500
3 S 0.000 0.000 0.500
4 N 0.000 0.500 0.000
5 N 0.500 0.000 0.000

calculated density = 5.2 g/cm³
D(E_F) = 1.0297 states/eV/atom
distance to the lowest polymorph of the same formula = 230 meV/atom
symmetry = No. 123
electronic total energy = -0.33494 Ry per atom
M_tot = 0.00 μB per formula unit
energy relative to the elements, uncorrected = 130.5 kJ per mole of atoms



(4)
The following is a PBE calculation of a relaxed Sc2TaCr crystal, from the Alexandria database.

Unit cell a=5.323 b=5.323 c=5.323 alpha=133.63 beta=133.63 gamma=67.67
Last column: magnetic moment on the atom in μB.
Positions (direct):
1 Cr 0.750 0.250 0.500  2.94
2 Sc 0.000 0.000 0.000  -0.06
3 Sc 0.500 0.500 0.000  -0.06
4 Ta 0.250 0.750 0.500  -0.41

calculated density = 6.9 g/cm³
D(E_F) = 1.2164 states/eV/atom
distance to the lowest polymorph of the same formula = 235 meV/atom
symmetry = No. 139
electronic total energy = -0.60103 Ry per atom
M_tot = 2.58 μB per formula unit
formation energy from the elements = 357 meV per atom



(5)
The following is a PBE calculation of a relaxed AcLa2Nb crystal, from the Alexandria database.

Unit cell a=5.959 b=5.959 c=5.401 alpha=56.52 beta=56.52 gamma=60.00
Last column: magnetic moment on the atom in μB.
Positions (direct):
1 Ac 0.500 0.500 0.500  -0.01
2 Nb 0.000 0.000 0.000  0.14
3 La 0.228 0.228 0.317  0.00
4 La 0.772 0.772 0.683  0.00

calculated density = 7.8 g/cm³
D(E_F) = 1.5745 states/eV/atom
symmetry = No. 166
electronic total energy = -0.40817 Ry per atom
M_tot = 0.14 μB per formula unit
formation energy from the elements = 455 meV per atom



(6)
The following is a PBE calculation of a relaxed Ac2TiSb5 crystal, from the Alexandria database.

Unit cell a=6.790 b=8.310 c=7.016 alpha=126.38 beta=118.81 gamma=90.05
Positions (direct):
1 Ac 0.259 0.759 0.518
2 Ac 0.759 0.259 0.519
3 Ti 0.021 0.020 0.041
4 Sb 0.749 0.263 0.008
5 Sb 0.259 0.264 0.008
6 Sb 0.749 0.744 0.008
7 Sb 0.259 0.744 0.008
8 Sb 0.723 0.723 0.445

calculated density = 7.2 g/cm³
D(E_F) = 0.5463 states/eV/atom
symmetry = No. 1
electronic total energy = -0.37664 Ry per atom
M_tot = 0.00 μB per formula unit
energy relative to the elements, uncorrected = -51.5 kJ per mole of atoms